(1)
Crystalline P2Pb4Br3 at its relaxed geometry, computed with GGA-PBE.

The structure belongs to space group C2/m (No. 12); the cell edges are 15.234, 4.108 and 9.324 Å and the angles 90.00°, 100.97° and 90.00°. The asymmetric unit holds P at (0.191, 0.000, 0.330), Pb at (0.073, 0.500, 0.190), Pb at (0.180, 0.000, 0.624), Br at (0.000, 0.500, 0.500) and Br at (0.107, 0.000, 0.930).

As for the formation energy (no corrections): -0.33 eV per atom.


(2)
Crystalline Tb2Nd4Mg at its relaxed geometry, computed with GGA-PBE.

The structure belongs to space group P2/m (No. 10); the cell edges are 6.012, 3.692 and 11.061 Å and the angles 90.00°, 99.88° and 90.00°. The asymmetric unit holds Tb at (0.000, 0.000, 0.000), Tb at (0.500, 0.500, 0.000), Nd at (0.047, 0.500, 0.705), Nd at (0.436, 0.000, 0.251) and Mg at (0.500, 0.500, 0.500).

Its formation energy is 120 meV/atom. For the energy above the most stable polymorph in this dataset, the calculation gives 0 meV/atom.


(3)
Crystalline K2RbH6Ir at its relaxed geometry, computed with GGA-PBE.

The structure belongs to space group Fm-3m (No. 225); the cell edges are 8.505, 8.505 and 8.505 Å and the angles 90.00°, 90.00° and 90.00°. The asymmetric unit holds K at (0.250, 0.250, 0.250), Rb at (0.000, 0.000, 0.000), H at (0.000, 0.000, 0.302) and Ir at (0.000, 0.000, 0.500).


(4)
Crystalline Ce2InPdS5 at its relaxed geometry, computed with GGA-PBE.

The structure belongs to space group Cmc2_1 (No. 36); the cell edges are 3.988, 17.384 and 11.470 Å and the angles 90.00°, 90.00° and 90.00°. The asymmetric unit holds Ce at (0.000, 0.116, 0.000), Ce at (0.000, 0.119, 0.374), In at (0.000, 0.407, 0.176), Pd at (0.000, 0.250, 0.799), S at (0.000, 0.031, 0.769), S at (0.000, 0.306, 0.022), S at (0.000, 0.313, 0.363), S at (0.000, 0.365, 0.689) and S at (0.000, 0.492, 0.983).

As for the formation energy (no corrections): -1.27 eV per atom.


(5)
Crystalline LaMgAs2 at its relaxed geometry, computed with GGA-PBE.

The structure belongs to space group P4mm (No. 99); the cell edges are 4.262, 4.262 and 5.871 Å and the angles 90.00°, 90.00° and 90.00°. The asymmetric unit holds La at (0.000, 0.000, 0.000), Mg at (0.500, 0.500, 0.498), As at (0.000, 0.000, 0.500) and As at (0.500, 0.500, 0.998).

Its formation energy is -786 meV/atom.


(6)
Crystalline SnTeI at its relaxed geometry, computed with GGA-PBE.

The structure belongs to space group C2/m (No. 12); the cell edges are 7.466, 4.300 and 14.189 Å and the angles 90.00°, 100.20° and 90.00°. The asymmetric unit holds Sn at (0.243, 0.000, 0.218), Te at (0.131, 0.000, 0.902) and I at (0.126, 0.500, 0.366).

As for the formation energy (no corrections): -0.27 eV per atom.


Number 1: total energy -3.737 eV/atom. Number 2: total energy -4.155 eV/atom. Number 3: total energy -3.574 eV/atom. Number 4: total energy -5.758 eV/atom. Number 5: total energy -4.742 eV/atom. Number 6: total energy -3.170 eV/atom.